# 1
# TmHfGaTc

An optimized crystal structure of TmHfGaTc (GGA-PBE, Alexandria via LeMat-Bulk).

Unit cell a=4.7655 b=4.7655 c=4.7655 alpha=60.00 beta=60.00 gamma=60.00
With the nearest neighbours (Å) after each atom.
Positions (direct):
Tm 0.0000 0.0000 0.0000  4 Tc 2.92, 4 Ga 2.92
Hf 0.5000 0.5000 0.5000  4 Ga 2.92, 4 Tc 2.92
Tc 0.2500 0.2500 0.2500  4 Hf 2.92, 4 Tm 2.92
Ga 0.7500 0.7500 0.7500  4 Tm 2.92, 4 Hf 2.92

Computed properties:
As for the formation energy: -0.34 eV per atom. The spin magnetization is 0.000 μB per atom.



# 2
# YHfGaTc

An optimized crystal structure of YHfGaTc (GGA-PBE, Alexandria via LeMat-Bulk).

Unit cell a=4.8051 b=4.8051 c=4.8051 alpha=60.00 beta=60.00 gamma=60.00
With the nearest neighbours (Å) after each atom.
Positions (direct):
Y 0.7500 0.7500 0.7500  4 Ga 2.94, 4 Tc 2.94
Hf 0.2500 0.2500 0.2500  4 Tc 2.94, 4 Ga 2.94
Tc 0.0000 0.0000 0.0000  4 Y 2.94, 4 Hf 2.94
Ga 0.5000 0.5000 0.5000  4 Y 2.94, 4 Hf 2.94

Computed properties:
As for the formation energy: -0.29 eV per atom. The spin magnetization is 0.000 μB per atom.